# 1
CsLiSe, relaxed, DFT PBE; space group = P-6m2, No. 187; uncorrected formation energy = -1.13 eV/atom; theoretical density = 3.82 g/cm3; uncorrected energy = -3.2142 eV/atom; N(E_F) = 0.000 states/eV/cell; crystal system = hexagonal
1.0
4.4890 0.0000 0.0000
-2.2445 3.8876 0.0000
0.0000 0.0000 5.4474
Cs Li Se
1 1 1
direct
0.0000 0.0000 0.0000
0.3333 0.6667 0.5000
0.6667 0.3333 0.5000



# 2
CsLiSe, relaxed, DFT PBE; space group = I4mm, No. 107; uncorrected formation energy = -0.87 eV/atom; theoretical density = 3.88 g/cm3; uncorrected energy = -2.9522 eV/atom; N(E_F) = 0.097 states/eV/cell; crystal system = tetragonal
1.0
-1.9683 1.9683 6.0481
1.9683 -1.9683 6.0481
1.9683 1.9683 -6.0481
Cs Li Se
1 1 1
direct
0.0000 0.0000 0.0000
0.2410 0.2410 0.0000
0.7072 0.7072 0.0000



# 3
CsLi2Se, relaxed, DFT PBE; space group = I4_1/amd, No. 141; uncorrected formation energy = -0.67 eV/atom; theoretical density = 2.09 g/cm3; uncorrected energy = -2.7124 eV/atom; N(E_F) = 1.342 states/eV/cell; crystal system = tetragonal
1.0
-3.9693 3.9693 5.6819
3.9693 -3.9693 5.6819
3.9693 3.9693 -5.6819
Cs Li Se
2 4 2
direct
0.3750 0.6250 0.7500
0.6250 0.3750 0.2500
0.0000 0.0000 0.0000
0.0000 0.0000 0.5000
0.0000 0.5000 0.0000
0.5000 0.0000 0.5000
0.1250 0.8750 0.2500
0.8750 0.1250 0.7500



# 4
CsLiSe3, relaxed, DFT PBE; space group = Pm-3m, No. 221; uncorrected formation energy = -0.26 eV/atom; theoretical density = 4.75 g/cm3; uncorrected energy = -2.9051 eV/atom; N(E_F) = 5.617 states/eV/cell; crystal system = cubic; relative energy among the computed polymorphs = 0 meV per atom
1.0
5.0865 0.0000 0.0000
0.0000 5.0865 0.0000
0.0000 0.0000 5.0865
Cs Li Se
1 1 3
direct
0.0000 0.0000 0.0000
0.5000 0.5000 0.5000
0.0000 0.5000 0.5000
0.5000 0.0000 0.5000
0.5000 0.5000 0.0000



Which of these has the lowest uncorrected energy? number 1